# 1
Crystalline ErNpI6 at its relaxed geometry. Source: the Alexandria database, functional PBE.

Total moment: 4.00 μB/f.u.
VASP energy: -4.433 eV per atom

```
data_ErNpI6
_cell_length_a 7.5503
_cell_length_b 14.3977
_cell_length_c 7.5502
_cell_angle_alpha 90.00
_cell_angle_beta 108.10
_cell_angle_gamma 90.00
_symmetry_space_group_name_H-M 'C 1 2/m 1'
_symmetry_Int_Tables_number 12
loop_
_symmetry_equiv_pos_as_xyz
'x,y,z'
'-x,-y,-z'
'-x,y,-z'
'x,-y,z'
'x+1/2,y+1/2,z'
'-x+1/2,-y+1/2,-z'
'-x+1/2,y+1/2,-z'
'x+1/2,-y+1/2,z'
loop_
_atom_site_label
_atom_site_type_symbol
_atom_site_fract_x
_atom_site_fract_y
_atom_site_fract_z
Er1 Er 0.0000 0.0000 0.0000
Np1 Np 0.0000 0.5000 0.5000
I1 I 0.2408 0.1476 0.2425
I2 I 0.2486 0.0000 0.7546
```



# 2
Crystalline Er6IO12 at its relaxed geometry. Source: the Alexandria database, functional PBE.

Total moment: 0.00 μB/f.u.
VASP energy: -7.625 eV per atom

```
data_Er6IO12
_cell_length_a 9.8111
_cell_length_b 9.8111
_cell_length_c 9.3500
_cell_angle_alpha 90.00
_cell_angle_beta 90.00
_cell_angle_gamma 120.00
_symmetry_space_group_name_H-M 'R -3'
_symmetry_Int_Tables_number 148
_symmetry_space_group_name_Hall '-R 3'
loop_
_atom_site_label
_atom_site_type_symbol
_atom_site_fract_x
_atom_site_fract_y
_atom_site_fract_z
Er1 Er 0.0392 0.7868 0.1416
I1 I 0.0000 0.0000 0.5000
O1 O 0.0311 0.8089 0.8997
O2 O 0.0420 0.8480 0.3870
```



# 3
Crystalline ErIO at its relaxed geometry. Source: the Alexandria database, functional PBE.

Total moment: 0.00 μB/f.u.
VASP energy: -5.940 eV per atom

```
data_ErIO
_cell_length_a 3.7358
_cell_length_b 3.7358
_cell_length_c 17.5157
_cell_angle_alpha 90.00
_cell_angle_beta 90.00
_cell_angle_gamma 120.00
_symmetry_space_group_name_H-M 'R 3 m'
_symmetry_Int_Tables_number 160
_symmetry_space_group_name_Hall 'R 3 -2"'
loop_
_atom_site_label
_atom_site_type_symbol
_atom_site_fract_x
_atom_site_fract_y
_atom_site_fract_z
Er1 Er 0.0000 0.0000 0.0000
I1 I 0.0000 0.0000 0.8076
O1 O 0.0000 0.0000 0.6379
```



# 4
Crystalline Er2I3O at its relaxed geometry. Source: the Alexandria database, functional PBE.

Total moment: 0.00 μB/f.u.
VASP energy: -5.091 eV per atom

```
data_Er2I3O
_cell_length_a 21.1590
_cell_length_b 4.0252
_cell_length_c 11.4089
_cell_angle_alpha 90.00
_cell_angle_beta 112.69
_cell_angle_gamma 90.00
_symmetry_space_group_name_H-M 'C 1 2/m 1'
_symmetry_Int_Tables_number 12
loop_
_symmetry_equiv_pos_as_xyz
'x,y,z'
'-x,-y,-z'
'-x,y,-z'
'x,-y,z'
'x+1/2,y+1/2,z'
'-x+1/2,-y+1/2,-z'
'-x+1/2,y+1/2,-z'
'x+1/2,-y+1/2,z'
loop_
_atom_site_label
_atom_site_type_symbol
_atom_site_fract_x
_atom_site_fract_y
_atom_site_fract_z
Er1 Er 0.0681 0.0000 0.4710
Er2 Er 0.0717 0.5000 0.7366
I1 I 0.0719 0.5000 0.2595
I2 I 0.1369 0.0000 0.9541
I3 I 0.1854 0.5000 0.6329
O1 O 0.0432 0.0000 0.6419
```



# 5
Crystalline ErI3O9 at its relaxed geometry. Source: the Alexandria database, functional PBE.

Total moment: 0.00 μB/f.u.
VASP energy: -5.140 eV per atom

```
data_ErI3O9
_cell_length_a 8.7861
_cell_length_b 6.2818
_cell_length_c 16.7425
_cell_angle_alpha 90.00
_cell_angle_beta 114.79
_cell_angle_gamma 90.00
_symmetry_space_group_name_H-M 'P 1 21/c 1'
_symmetry_Int_Tables_number 14
loop_
_symmetry_equiv_pos_as_xyz
'x,y,z'
'-x,-y,-z'
'-x,y+1/2,-z+1/2'
'x,-y+1/2,z+1/2'
loop_
_atom_site_label
_atom_site_type_symbol
_atom_site_fract_x
_atom_site_fract_y
_atom_site_fract_z
Er1 Er 0.1517 0.2298 0.1111
I1 I 0.0700 0.2074 0.3597
I2 I 0.3494 0.6499 0.5162
I3 I 0.4140 0.5854 0.8020
O1 O 0.0693 0.0233 0.6852
O2 O 0.0959 0.5858 0.6708
O3 O 0.1149 0.1610 0.4743
O4 O 0.1205 0.6699 0.4704
O5 O 0.3364 0.5722 0.8877
O6 O 0.3494 0.0562 0.9365
O7 O 0.3490 0.1831 0.2568
O8 O 0.3642 0.0159 0.6336
O9 O 0.3663 0.0212 0.1089
```



# 6
Crystalline ErI2O6 at its relaxed geometry. Source: the Alexandria database, functional PBE.

Total moment: 0.55 μB/f.u.
VASP energy: -5.220 eV per atom

```
data_ErI2O6
_cell_length_a 9.4159
_cell_length_b 11.8084
_cell_length_c 5.9057
_cell_angle_alpha 90.00
_cell_angle_beta 102.64
_cell_angle_gamma 90.00
_symmetry_space_group_name_H-M 'C 1 2/c 1'
_symmetry_Int_Tables_number 15
loop_
_symmetry_equiv_pos_as_xyz
'x,y,z'
'-x,-y,-z'
'-x,y,-z+1/2'
'x,-y,z+1/2'
'x+1/2,y+1/2,z'
'-x+1/2,-y+1/2,-z'
'-x+1/2,y+1/2,-z+1/2'
'x+1/2,-y+1/2,z+1/2'
loop_
_atom_site_label
_atom_site_type_symbol
_atom_site_fract_x
_atom_site_fract_y
_atom_site_fract_z
Er1 Er 0.0000 0.0854 0.2500
I1 I 0.1819 0.3729 0.2095
O1 O 0.1006 0.3881 0.4627
O2 O 0.1306 0.0499 0.6121
O3 O 0.1481 0.2163 0.1596
```



Please write out number 5 again, unchanged.
Crystalline ErI3O9 at its relaxed geometry. Source: the Alexandria database, functional PBE.

Total moment: 0.00 μB/f.u.
VASP energy: -5.140 eV per atom

```
data_ErI3O9
_cell_length_a 8.7861
_cell_length_b 6.2818
_cell_length_c 16.7425
_cell_angle_alpha 90.00
_cell_angle_beta 114.79
_cell_angle_gamma 90.00
_symmetry_space_group_name_H-M 'P 1 21/c 1'
_symmetry_Int_Tables_number 14
loop_
_symmetry_equiv_pos_as_xyz
'x,y,z'
'-x,-y,-z'
'-x,y+1/2,-z+1/2'
'x,-y+1/2,z+1/2'
loop_
_atom_site_label
_atom_site_type_symbol
_atom_site_fract_x
_atom_site_fract_y
_atom_site_fract_z
Er1 Er 0.1517 0.2298 0.1111
I1 I 0.0700 0.2074 0.3597
I2 I 0.3494 0.6499 0.5162
I3 I 0.4140 0.5854 0.8020
O1 O 0.0693 0.0233 0.6852
O2 O 0.0959 0.5858 0.6708
O3 O 0.1149 0.1610 0.4743
O4 O 0.1205 0.6699 0.4704
O5 O 0.3364 0.5722 0.8877
O6 O 0.3494 0.0562 0.9365
O7 O 0.3490 0.1831 0.2568
O8 O 0.3642 0.0159 0.6336
O9 O 0.3663 0.0212 0.1089
```